(1)
# PBE-GGA AsIrPb2Se, optimized geometry
data_AsIrPb2Se
_chemical_formula_sum 'As1 Ir1 Pb2 Se1'
_cell_length_a 5.767
_cell_length_b 5.767
_cell_length_c 4.498
_cell_angle_alpha 90.00
_cell_angle_beta 90.00
_cell_angle_gamma 90.00
_symmetry_space_group_name_H-M 'P 1'
_symmetry_Int_Tables_number 1
loop_
_symmetry_equiv_pos_as_xyz
'x,y,z'
loop_
_atom_site_label
_atom_site_fract_x
_atom_site_fract_y
_atom_site_fract_z
_atom_site_occupancy
As1 0.000 0.000 0.000 1
Ir1 0.000 0.000 0.500 1
Pb1 0.000 0.500 0.000 1
Pb2 0.500 0.000 0.000 1
Se1 0.500 0.500 0.500 1
# raw formation energy = 0.51 eV per atom

(2)
# PBE-GGA ZrIrOs2Ru, optimized geometry
data_ZrIrOs2Ru
_chemical_formula_sum 'Zr1 Ir1 Os2 Ru1'
_cell_length_a 4.778
_cell_length_b 4.778
_cell_length_c 4.768
_cell_angle_alpha 90.00
_cell_angle_beta 90.00
_cell_angle_gamma 90.00
_symmetry_space_group_name_H-M 'P 1'
_symmetry_Int_Tables_number 1
loop_
_symmetry_equiv_pos_as_xyz
'x,y,z'
loop_
_atom_site_label
_atom_site_fract_x
_atom_site_fract_y
_atom_site_fract_z
_atom_site_occupancy
Zr1 0.000 0.000 0.000 1
Ir1 0.000 0.000 0.500 1
Os1 0.000 0.500 0.000 1
Os2 0.500 0.000 0.000 1
Ru1 0.500 0.500 0.500 1
# formation enthalpy at 0 K = 2.537 eV/atom

(3)
# PBE-GGA Tb2Nd7Y2, optimized geometry
data_Tb2Nd7Y2
_chemical_formula_sum 'Tb2 Nd7 Y2'
_cell_length_a 7.034
_cell_length_b 7.034
_cell_length_c 8.240
_cell_angle_alpha 101.81
_cell_angle_beta 101.81
_cell_angle_gamma 78.67
_symmetry_space_group_name_H-M 'P 1'
_symmetry_Int_Tables_number 1
loop_
_symmetry_equiv_pos_as_xyz
'x,y,z'
loop_
_atom_site_label
_atom_site_fract_x
_atom_site_fract_y
_atom_site_fract_z
_atom_site_occupancy
Tb1 0.050 0.050 0.310 1
Tb2 0.950 0.950 0.690 1
Nd1 0.021 0.416 0.679 1
Nd2 0.237 0.237 0.054 1
Nd3 0.416 0.021 0.679 1
Nd4 0.500 0.500 0.500 1
Nd5 0.584 0.979 0.321 1
Nd6 0.763 0.763 0.946 1
Nd7 0.979 0.584 0.321 1
Y1 0.291 0.709 0.000 1
Y2 0.709 0.291 0.000 1
# formation enthalpy at 0 K = 0.152 eV/atom

(4)
# PBE-GGA ReHg2Rh, optimized geometry
data_ReHg2Rh
_chemical_formula_sum 'Re4 Hg8 Rh4'
_cell_length_a 7.601
_cell_length_b 7.601
_cell_length_c 5.382
_cell_angle_alpha 90.00
_cell_angle_beta 90.00
_cell_angle_gamma 90.00
_symmetry_space_group_name_H-M 'P 1'
_symmetry_Int_Tables_number 1
loop_
_symmetry_equiv_pos_as_xyz
'x,y,z'
loop_
_atom_site_label
_atom_site_fract_x
_atom_site_fract_y
_atom_site_fract_z
_atom_site_occupancy
Re1 0.000 0.000 0.000 1
Re2 0.000 0.500 0.250 1
Re3 0.500 0.000 0.750 1
Re4 0.500 0.500 0.500 1
Hg1 0.247 0.250 0.625 1
Hg2 0.250 0.747 0.875 1
Hg3 0.250 0.753 0.375 1
Hg4 0.253 0.250 0.125 1
Hg5 0.747 0.750 0.125 1
Hg6 0.750 0.247 0.375 1
Hg7 0.750 0.253 0.875 1
Hg8 0.753 0.750 0.625 1
Rh1 0.000 0.000 0.500 1
Rh2 0.000 0.500 0.750 1
Rh3 0.500 0.000 0.250 1
Rh4 0.500 0.500 0.000 1
# formation enthalpy at 0 K = 1.138 eV/atom

(5)
# PBE-GGA ErPu2Pa, optimized geometry
data_ErPu2Pa
_chemical_formula_sum 'Er3 Pu6 Pa3'
_cell_length_a 3.359
_cell_length_b 3.359
_cell_length_c 32.332
_cell_angle_alpha 90.00
_cell_angle_beta 90.00
_cell_angle_gamma 120.00
_symmetry_space_group_name_H-M 'P 1'
_symmetry_Int_Tables_number 1
loop_
_symmetry_equiv_pos_as_xyz
'x,y,z'
loop_
_atom_site_label
_atom_site_fract_x
_atom_site_fract_y
_atom_site_fract_z
_atom_site_occupancy
Er1 0.000 0.000 0.000 1
Er2 0.333 0.667 0.667 1
Er3 0.667 0.333 0.333 1
Pu1 0.000 0.000 0.245 1
Pu2 0.000 0.000 0.755 1
Pu3 0.333 0.667 0.422 1
Pu4 0.333 0.667 0.911 1
Pu5 0.667 0.333 0.089 1
Pu6 0.667 0.333 0.578 1
Pa1 0.000 0.000 0.500 1
Pa2 0.333 0.667 0.167 1
Pa3 0.667 0.333 0.833 1
# formation enthalpy at 0 K = 0.148 eV/atom

(6)
# PBE-GGA LiYPuMn, optimized geometry
data_LiYPuMn
_chemical_formula_sum 'Li4 Y4 Pu4 Mn4'
_cell_length_a 7.027
_cell_length_b 7.027
_cell_length_c 7.027
_cell_angle_alpha 90.00
_cell_angle_beta 90.00
_cell_angle_gamma 90.00
_symmetry_space_group_name_H-M 'P 1'
_symmetry_Int_Tables_number 1
loop_
_symmetry_equiv_pos_as_xyz
'x,y,z'
loop_
_atom_site_label
_atom_site_fract_x
_atom_site_fract_y
_atom_site_fract_z
_atom_site_occupancy
Li1 0.000 0.000 0.000 1
Li2 0.000 0.500 0.500 1
Li3 0.500 0.000 0.500 1
Li4 0.500 0.500 0.000 1
Y1 0.250 0.250 0.250 1
Y2 0.250 0.750 0.750 1
Y3 0.750 0.250 0.750 1
Y4 0.750 0.750 0.250 1
Pu1 0.250 0.250 0.750 1
Pu2 0.250 0.750 0.250 1
Pu3 0.750 0.250 0.250 1
Pu4 0.750 0.750 0.750 1
Mn1 0.000 0.000 0.500 1
Mn2 0.000 0.500 0.000 1
Mn3 0.500 0.000 0.000 1
Mn4 0.500 0.500 0.500 1
# formation enthalpy at 0 K = 0.189 eV/atom

(7)
# PBE-GGA BaBePb2, optimized geometry
data_BaBePb2
_chemical_formula_sum 'Ba4 Be4 Pb8'
_cell_length_a 5.804
_cell_length_b 5.804
_cell_length_c 16.856
_cell_angle_alpha 90.00
_cell_angle_beta 90.00
_cell_angle_gamma 90.00
_symmetry_space_group_name_H-M 'P 1'
_symmetry_Int_Tables_number 1
loop_
_symmetry_equiv_pos_as_xyz
'x,y,z'
loop_
_atom_site_label
_atom_site_fract_x
_atom_site_fract_y
_atom_site_fract_z
_atom_site_occupancy
Ba1 0.000 0.000 0.000 1
Ba2 0.000 0.500 0.250 1
Ba3 0.500 0.000 0.750 1
Ba4 0.500 0.500 0.500 1
Be1 0.000 0.000 0.500 1
Be2 0.000 0.500 0.750 1
Be3 0.500 0.000 0.250 1
Be4 0.500 0.500 0.000 1
Pb1 0.079 0.250 0.625 1
Pb2 0.250 0.579 0.875 1
Pb3 0.250 0.921 0.375 1
Pb4 0.421 0.250 0.125 1
Pb5 0.579 0.750 0.125 1
Pb6 0.750 0.079 0.375 1
Pb7 0.750 0.421 0.875 1
Pb8 0.921 0.750 0.625 1
# formation enthalpy at 0 K = 0.123 eV/atom

(8)
# PBE-GGA AlGe2PBr, optimized geometry
data_AlGe2PBr
_chemical_formula_sum 'Al1 Ge2 P1 Br1'
_cell_length_a 4.719
_cell_length_b 4.719
_cell_length_c 7.543
_cell_angle_alpha 90.00
_cell_angle_beta 90.00
_cell_angle_gamma 90.00
_symmetry_space_group_name_H-M 'P 1'
_symmetry_Int_Tables_number 1
loop_
_symmetry_equiv_pos_as_xyz
'x,y,z'
loop_
_atom_site_label
_atom_site_fract_x
_atom_site_fract_y
_atom_site_fract_z
_atom_site_occupancy
Al1 0.000 0.000 0.000 1
Ge1 0.000 0.500 0.500 1
Ge2 0.500 0.000 0.500 1
P1 0.500 0.500 0.500 1
Br1 0.500 0.500 0.000 1
# raw formation energy = 0.67 eV per atom

(9)
# PBE-GGA Ba2HfPt3O12, optimized geometry
data_Ba2HfPt3O12
_chemical_formula_sum 'Ba2 Hf1 Pt3 O12'
_cell_length_a 7.286
_cell_length_b 7.286
_cell_length_c 7.286
_cell_angle_alpha 59.08
_cell_angle_beta 59.08
_cell_angle_gamma 59.08
_symmetry_space_group_name_H-M 'P 1'
_symmetry_Int_Tables_number 1
loop_
_symmetry_equiv_pos_as_xyz
'x,y,z'
loop_
_atom_site_label
_atom_site_fract_x
_atom_site_fract_y
_atom_site_fract_z
_atom_site_occupancy
Ba1 0.121 0.121 0.121 1
Ba2 0.879 0.879 0.879 1
Hf1 0.500 0.500 0.500 1
Pt1 0.000 0.500 0.500 1
Pt2 0.500 0.000 0.500 1
Pt3 0.500 0.500 0.000 1
O1 0.153 0.588 0.588 1
O2 0.173 0.173 0.602 1
O3 0.173 0.602 0.173 1
O4 0.398 0.827 0.827 1
O5 0.412 0.412 0.847 1
O6 0.412 0.847 0.412 1
O7 0.588 0.153 0.588 1
O8 0.588 0.588 0.153 1
O9 0.602 0.173 0.173 1
O10 0.827 0.398 0.827 1
O11 0.827 0.827 0.398 1
O12 0.847 0.412 0.412 1
# raw formation energy = -1.41 eV per atom

(10)
# PBE-GGA PaBiAs, optimized geometry
data_PaBiAs
_chemical_formula_sum 'Pa2 Bi2 As2'
_cell_length_a 4.024
_cell_length_b 4.024
_cell_length_c 10.687
_cell_angle_alpha 90.00
_cell_angle_beta 90.00
_cell_angle_gamma 90.00
_symmetry_space_group_name_H-M 'P 1'
_symmetry_Int_Tables_number 1
loop_
_symmetry_equiv_pos_as_xyz
'x,y,z'
loop_
_atom_site_label
_atom_site_fract_x
_atom_site_fract_y
_atom_site_fract_z
_atom_site_occupancy
Pa1 0.250 0.250 0.121 1
Pa2 0.750 0.750 0.879 1
Bi1 0.250 0.250 0.434 1
Bi2 0.750 0.750 0.566 1
As1 0.250 0.250 0.842 1
As2 0.750 0.750 0.158 1
# formation enthalpy at 0 K = -0.491 eV/atom

(11)
# PBE-GGA Ba2TePbO6, optimized geometry
data_Ba2TePbO6
_chemical_formula_sum 'Ba2 Te1 Pb1 O6'
_cell_length_a 6.198
_cell_length_b 6.198
_cell_length_c 6.198
_cell_angle_alpha 60.00
_cell_angle_beta 60.00
_cell_angle_gamma 60.00
_symmetry_space_group_name_H-M 'P 1'
_symmetry_Int_Tables_number 1
loop_
_symmetry_equiv_pos_as_xyz
'x,y,z'
loop_
_atom_site_label
_atom_site_fract_x
_atom_site_fract_y
_atom_site_fract_z
_atom_site_occupancy
Ba1 0.250 0.250 0.250 1
Ba2 0.750 0.750 0.750 1
Te1 0.000 0.000 0.000 1
Pb1 0.500 0.500 0.500 1
O1 0.224 0.224 0.776 1
O2 0.224 0.776 0.224 1
O3 0.224 0.776 0.776 1
O4 0.776 0.224 0.224 1
O5 0.776 0.224 0.776 1
O6 0.776 0.776 0.224 1
# raw formation energy = -1.88 eV per atom

(12)
# PBE-GGA SrCaGa2Pd2, optimized geometry
data_SrCaGa2Pd2
_chemical_formula_sum 'Sr1 Ca1 Ga2 Pd2'
_cell_length_a 4.458
_cell_length_b 4.458
_cell_length_c 8.010
_cell_angle_alpha 90.00
_cell_angle_beta 90.00
_cell_angle_gamma 120.00
_symmetry_space_group_name_H-M 'P 1'
_symmetry_Int_Tables_number 1
loop_
_symmetry_equiv_pos_as_xyz
'x,y,z'
loop_
_atom_site_label
_atom_site_fract_x
_atom_site_fract_y
_atom_site_fract_z
_atom_site_occupancy
Sr1 0.000 0.000 0.000 1
Ca1 0.000 0.000 0.500 1
Ga1 0.333 0.667 0.276 1
Ga2 0.667 0.333 0.724 1
Pd1 0.333 0.667 0.720 1
Pd2 0.667 0.333 0.280 1
# formation enthalpy at 0 K = -0.681 eV/atom

Calculated total energy, record by record: -4.37 -7.29 -4.90 -3.96 -10.53 -7.78 -3.14 -3.34 -6.49 -6.50 -5.92 -4.03 eV/atom
DOS(E_F), record by record: 4.1 8.0 13.9 15.7 42.8 28.0 7.2 3.7 13.2 7.4 0.0 3.8 states/eV per cell